VASP calculation (PBE-GGA) on a relaxed LaTcGe3Ru crystal. Values from VASP.

Properties
* E_tot: -6.7140 eV per atom
* ΔE_f: -0.31 eV per atom

```
&SYSTEM
  ibrav = 0, nat = 12, ntyp = 4
/
ATOMIC_SPECIES
Ge 72.64 Ge.upf
Tc 98.00 Tc.upf
La 138.91 La.upf
Ru 101.07 Ru.upf
ATOMIC_POSITIONS angstrom
Ge 1.109 -1.115 -1.139
Tc -0.577 -1.283 0.694
La 2.888 -4.064 0.172
Ge -0.654 -3.410 -0.609
Ge 0.717 -1.856 2.514
La -1.033 -4.157 3.064
Ge 1.138 -6.366 0.722
Ru -0.156 -5.792 -1.101
Ru 2.011 -2.430 4.337
Ge 3.325 -3.343 -3.415
Ge 1.562 -5.638 -2.885
Tc 2.432 -6.939 2.542
CELL_PARAMETERS angstrom
-3.526 -4.590 1.060
4.434 -4.458 -4.554
0.947 0.826 6.731
```